Record 1
DFT (PBE-GGA) results for a geometry-optimized ZrAsO3 structure.

a = 3.9386 Å, b = 3.9386 Å, c = 3.9386 Å
α = 90.00°, β = 90.00°, γ = 90.00°
Closest atoms and distances in Å follow each position.
Atoms (fractional coordinates):
Zr  0.0000  0.0000  0.0000  12 O 2.79
As  0.5000  0.5000  0.5000  6 O 1.97
O  0.0000  0.5000  0.5000  2 As 1.97
O  0.5000  0.0000  0.5000  2 As 1.97
O  0.5000  0.5000  0.0000  2 As 1.97

Output
SG ... Pm-3m, No. 221
Uncorrected formation energy ... -941 meV/atom

Record 2
DFT (PBE-GGA) results for a geometry-optimized ScS3O structure.

a = 4.9443 Å, b = 4.9443 Å, c = 4.9443 Å
α = 90.00°, β = 90.00°, γ = 90.00°
Closest atoms and distances in Å follow each position.
Atoms (fractional coordinates):
Sc  0.0000  0.0000  0.0000  6 S 2.47
S  0.0000  0.0000  0.5000  2 Sc 2.47
S  0.0000  0.5000  0.0000  2 Sc 2.47
S  0.5000  0.0000  0.0000  2 Sc 2.47
O  0.5000  0.5000  0.5000  12 S 3.50

Output
SG ... Pm-3m, No. 221
Uncorrected formation energy ... 307 meV/atom

Record 3
DFT (PBE-GGA) results for a geometry-optimized AcDySi3 structure.

a = 12.6845 Å, b = 12.6845 Å, c = 4.0179 Å
α = 90.00°, β = 90.00°, γ = 159.50°
Closest atoms and distances in Å follow each position.
Atoms (fractional coordinates):
Ac  0.0722  0.9278  0.7500  12 Si 3.24-3.53
Ac  0.9278  0.0722  0.2500  12 Si 3.24-3.53
Dy  0.2028  0.7972  0.2500  7 Si 2.90-3.07
Dy  0.7972  0.2028  0.7500  7 Si 2.90-3.07
Si  0.3190  0.6810  0.2500  2 Si 2.47
Si  0.3763  0.6237  0.7500  3 Si 2.45-2.47
Si  0.4743  0.5257  0.7500  3 Si 2.38-2.45
Si  0.5257  0.4743  0.2500  3 Si 2.38-2.45
Si  0.6237  0.3763  0.2500  3 Si 2.45-2.47
Si  0.6810  0.3190  0.7500  2 Si 2.47

Output
SG ... Cmcm, No. 63
Uncorrected formation energy ... -645 meV/atom

Calculated N(E_F), 4.181 4.498 1.860 states/eV/f.u. (same order as the records).